(1)
Computed, not measured: a relaxed CaLa2ScTe4 crystal at the PBE level of DFT.

## Properties
E_tot in eV for the cell shown: -42.322
Mass density in g/cm³: 5.80

a b c (Å): 7.693 4.424 7.775
angles (deg): 90.00 109.00 90.00
Space group P2/m (No. 10)
Unique sites:
Ca  0.000  0.000  0.000 [1 per cell]
La  0.000  0.500  0.500 [1 per cell]
La  0.500  0.000  0.500 [1 per cell]
Sc  0.500  0.500  0.000 [1 per cell]
Te  0.252  0.500  0.232 [2 per cell]
Te  0.266  0.000  0.774 [2 per cell]

***

(2)
Computed, not measured: a relaxed HoPu2MnS5 crystal at the PBE level of DFT.

## Properties
E_tot in eV for the cell shown: -307.737
Mass density in g/cm³: 7.67

a b c (Å): 3.873 16.374 11.855
angles (deg): 90.00 90.00 90.00
Space group Cmc2_1 (No. 36)
Unique sites:
Ho  0.000  0.199  0.000 [4 per cell]
Pu  0.000  0.111  0.683 [4 per cell]
Pu  0.000  0.127  0.299 [4 per cell]
Mn  0.000  0.493  0.470 [4 per cell]
S  0.000  0.045  0.069 [4 per cell]
S  0.000  0.289  0.660 [4 per cell]
S  0.000  0.310  0.341 [4 per cell]
S  0.000  0.363  0.996 [4 per cell]
S  0.000  0.498  0.776 [4 per cell]

***

(3)
Computed, not measured: a relaxed SrIr2W crystal at the PBE level of DFT.

## Properties
Energy of formation from the pure elements in eV per atom: 0.404
Energy above the most stable polymorph in this dataset in meV/atom: 375
Mass density in g/cm³: 15.19

a b c (Å): 6.496 7.619 2.897
angles (deg): 90.00 90.00 90.00
Space group Cmmm (No. 65)
Unique sites:
Sr  0.000  0.000  0.000 [2 per cell]
Ir  0.250  0.250  0.500 [4 per cell]
W  0.000  0.500  0.000 [2 per cell]

***

(4)
Computed, not measured: a relaxed SrMgAl2 crystal at the PBE level of DFT.

## Properties
Energy of formation from the pure elements in eV per atom: -0.072
Mass density in g/cm³: 2.54

a b c (Å): 8.146 4.689 6.297
angles (deg): 90.00 115.40 90.00
Space group C2/m (No. 12)
Unique sites:
Sr  0.000  0.000  0.000 [2 per cell]
Mg  0.000  0.500  0.500 [2 per cell]
Al  0.206  0.000  0.618 [4 per cell]

***

(5)
Computed, not measured: a relaxed ScTcMo2 crystal at the PBE level of DFT.

## Properties
Energy of formation from the pure elements in eV per atom: 0.250
Energy above the most stable polymorph in this dataset in meV/atom: 358
Mass density in g/cm³: 8.30

a b c (Å): 2.9221 2.9221 27.1923
angles (deg): 90.00 90.00 120.00
Space group R3m (No. 160, hexagonal axes)
Unique sites:
Sc  0.0000  0.0000  0.0000 [3 per cell]
Tc  0.0000  0.0000  0.7518 [3 per cell]
Mo  0.0000  0.0000  0.2445 [3 per cell]
Mo  0.0000  0.0000  0.4939 [3 per cell]

***

(6)
Computed, not measured: a relaxed Hf2GaAs2 crystal at the PBE level of DFT.

## Properties
Energy of formation from the pure elements in eV per atom: -0.506
Energy above the most stable polymorph in this dataset in meV/atom: 101
Mass density in g/cm³: 9.90

a b c (Å): 7.428 7.428 3.504
angles (deg): 90.00 90.00 90.00
Space group P4/mbm (No. 127)
Unique sites:
Hf  0.149  0.351  0.000 [4 per cell]
Ga  0.000  0.000  0.500 [2 per cell]
As  0.145  0.645  0.500 [4 per cell]

***

(7)
Computed, not measured: a relaxed KIN3 crystal at the PBE level of DFT.

## Properties
E_tot in eV for the cell shown: -18.503
Mass density in g/cm³: 4.99

a b c (Å): 4.105 4.105 4.105
angles (deg): 90.00 90.00 90.00
Space group Pm-3m (No. 221)
Unique sites:
K  0.000  0.000  0.000 [1 per cell]
I  0.500  0.500  0.500 [1 per cell]
N  0.000  0.500  0.500 [3 per cell]

***

(8)
Computed, not measured: a relaxed HoThCdRu crystal at the PBE level of DFT.

## Properties
Energy of formation from the pure elements in eV per atom: -0.219
Mass density in g/cm³: 10.61

a b c (Å): 7.257 7.257 7.257
angles (deg): 90.00 90.00 90.00
Space group F-43m (No. 216)
Unique sites:
Ho  0.000  0.000  0.000 [4 per cell]
Th  0.000  0.000  0.500 [4 per cell]
Cd  0.250  0.250  0.250 [4 per cell]
Ru  0.250  0.250  0.750 [4 per cell]